Entry 1:
## Ce2TiAs3Pt4 (PBE)

Data for a geometry-optimized Ce2TiAs3Pt4 structure.

## Properties
N(E_F) (states/eV/atom): 1.358
Size of the total moment (μB per atom): 0.127
Electronic total energy (eV per cell): -66.63
Volume (Å³/cell): 194.9

abc: 4.2760 4.2760 10.6571
angles: 90.00 90.00 90.00
Element x y z (fractional)
Ce  0.0000  0.5000  0.2346
Ce  0.5000  0.0000  0.7654
Ti  0.0000  0.0000  0.5000
As  0.0000  0.5000  0.8642
As  0.5000  0.0000  0.1358
As  0.5000  0.5000  0.5000
Pt  0.0000  0.0000  0.0000
Pt  0.0000  0.5000  0.6326
Pt  0.5000  0.0000  0.3674
Pt  0.5000  0.5000  0.0000

=====

Entry 2:
## Ce2VAs4Pt3 (PBE)

Data for a geometry-optimized Ce2VAs4Pt3 structure.

## Properties
N(E_F) (states/eV/atom): 1.347
Size of the total moment (μB per atom): 0.416
Electronic total energy (eV per cell): -65.86
Volume (Å³/cell): 195.4

abc: 4.3638 4.3638 10.2631
angles: 90.00 90.00 90.00
Element x y z (fractional)
Ce  0.0000  0.5000  0.2436
Ce  0.5000  0.0000  0.7564
V  0.0000  0.0000  0.5000
As  0.0000  0.0000  0.0000
As  0.0000  0.5000  0.6327
As  0.5000  0.0000  0.3673
As  0.5000  0.5000  0.0000
Pt  0.0000  0.5000  0.8734
Pt  0.5000  0.0000  0.1266
Pt  0.5000  0.5000  0.5000

=====

Entry 3:
## CePu2As (PBE)

Data for a geometry-optimized CePu2As structure.

## Properties
N(E_F) (states/eV/atom): 2.396
Size of the total moment (μB per atom): 2.970
Distance to the lowest polymorph of the same formula (meV/atom): 0
Electronic total energy (eV per cell): -41.22
Volume (Å³/cell): 92.5

abc: 4.5166 4.5166 4.5360
angles: 90.00 90.00 90.00
Element x y z (fractional)
Ce  0.0000  0.0000  0.0000
Pu  0.0000  0.5000  0.5000
Pu  0.5000  0.0000  0.5000
As  0.5000  0.5000  0.0000

=====

Entry 4:
## Ce2PuAs3 (PBE)

Data for a geometry-optimized Ce2PuAs3 structure.

## Properties
N(E_F) (states/eV/atom): 3.147
Size of the total moment (μB per atom): 1.112
Electronic total energy (eV per cell): -47.91
Volume (Å³/cell): 156.6

abc: 7.2554 7.2554 7.2554
angles: 146.32 131.74 60.14
Element x y z (fractional)
Ce  0.1671  0.1671  0.0000
Ce  0.8329  0.8329  0.0000
Pu  0.5000  0.5000  0.0000
As  0.0000  0.5000  0.5000
As  0.3353  0.8353  0.5000
As  0.6647  0.1647  0.5000